1.
Density functional theory data (GGA-PBEsol) for a relaxed HgTe2As crystal.

Values from the calculation:
- space group = No. 123
- calculated density (g/cm³) = 9.083
- ΔE_f (raw) (eV/atom) = 0.2525
- energy relative to the lowest polymorph listed for this composition (eV/atom) = 0.278
- total magnetization (μB/f.u.) = 0.00

a b c (Å): 3.6076 3.6076 7.4552
angles (deg): 90.00 90.00 90.00
With the nearest neighbours (Å) after each atom.
Element x y z (fractional)
As  0.5000  0.5000  0.0000  8 Te 3.06
Te  0.0000  0.0000  0.2273  4 As 3.06, 4 Hg 3.26, 1 Te 3.39
Te  0.0000  0.0000  0.7727  4 As 3.06, 4 Hg 3.26, 1 Te 3.39
Hg  0.5000  0.5000  0.5000  8 Te 3.26, 4 Hg 3.61



2.
Density functional theory data (GGA-PBEsol) for a relaxed HgTe2As crystal.

Values from the calculation:
- space group = No. 123
- calculated density (g/cm³) = 8.455
- ΔE_f (raw) (eV/atom) = 0.0027
- energy relative to the lowest polymorph listed for this composition (eV/atom) = 0.028
- total magnetization (μB/f.u.) = 0.00

a b c (Å): 4.2026 4.2026 5.9018
angles (deg): 90.00 90.00 90.00
With the nearest neighbours (Å) after each atom.
Element x y z (fractional)
Te  0.5000  0.5000  0.5000  2 As 2.95, 4 Hg 2.97
Te  0.0000  0.0000  0.0000  2 Hg 2.95, 4 As 2.97
Hg  0.0000  0.0000  0.5000  6 Te 2.95-2.97
As  0.5000  0.5000  0.0000  6 Te 2.95-2.97



3.
Density functional theory data (GGA-PBEsol) for a relaxed HgTe2As crystal.

Values from the calculation:
- space group = No. 6
- calculated density (g/cm³) = 8.296
- ΔE_f (raw) (eV/atom) = 0.0630
- energy relative to the lowest polymorph listed for this composition (eV/atom) = 0.089
- total magnetization (μB/f.u.) = 0.00

a b c (Å): 3.0294 5.9273 5.9704
angles (deg): 90.00 97.77 90.00
With the nearest neighbours (Å) after each atom.
Element x y z (fractional)
Te  0.8589  0.0000  0.8585  1 As 2.76, 2 Hg 2.98, 2 Te 3.03
Te  0.6599  0.5000  0.3685  2 As 2.97, 2 Hg 2.97-3.03, 2 Te 3.03
As  0.7108  0.0000  0.3921  3 Te 2.76-2.97, 2 As 3.03
Hg  0.7705  0.5000  0.8809  4 Te 2.97-3.03, 2 Hg 3.03



Please write out number 1 again, unchanged.
Density functional theory data (GGA-PBEsol) for a relaxed HgTe2As crystal.

Values from the calculation:
- space group = No. 123
- calculated density (g/cm³) = 9.083
- ΔE_f (raw) (eV/atom) = 0.2525
- energy relative to the lowest polymorph listed for this composition (eV/atom) = 0.278
- total magnetization (μB/f.u.) = 0.00

a b c (Å): 3.6076 3.6076 7.4552
angles (deg): 90.00 90.00 90.00
With the nearest neighbours (Å) after each atom.
Element x y z (fractional)
As  0.5000  0.5000  0.0000  8 Te 3.06
Te  0.0000  0.0000  0.2273  4 As 3.06, 4 Hg 3.26, 1 Te 3.39
Te  0.0000  0.0000  0.7727  4 As 3.06, 4 Hg 3.26, 1 Te 3.39
Hg  0.5000  0.5000  0.5000  8 Te 3.26, 4 Hg 3.61



Among the records above, which one has the highest ΔE_f (raw)?
number 1



Which value of ΔE_f (raw) does entry 3 give?
0.0630 eV/atom